Density functional theory data (SCAN) for NaAsP2Cl at its PBEsol-relaxed geometry.

Values from the calculation:
- Fermi-level density of states (states/eV per cell) = 5.260
- E (eV/cell) = -47.23

```
data_NaAsP2Cl
_space_group_name_H-M_alt 'P 4/m m m'
_space_group_IT_number 123
_space_group_name_Hall '-P 4 2'
_cell_length_a 4.948
_cell_length_b 4.948
_cell_length_c 4.518
_cell_angle_alpha 90.00
_cell_angle_beta 90.00
_cell_angle_gamma 90.00
loop_
_atom_site_label
_atom_site_type_symbol
_atom_site_fract_x
_atom_site_fract_y
_atom_site_fract_z
Na1 Na 0.000 0.000 0.000
As1 As 0.500 0.500 0.500
P1 P 0.000 0.500 0.000
Cl1 Cl 0.000 0.000 0.500
```

***

Density functional theory data (SCAN) for Li3InPt at its PBEsol-relaxed geometry.

Values from the calculation:
- Fermi-level density of states (states/eV per cell) = 2.445
- E (eV/cell) = -111.50
- ΔE_f (eV/atom) = -0.150

```
data_Li3InPt
_space_group_name_H-M_alt 'P m -3 m'
_space_group_IT_number 221
_space_group_name_Hall '-P 4 2 3'
_cell_length_a 4.650
_cell_length_b 4.650
_cell_length_c 4.650
_cell_angle_alpha 90.00
_cell_angle_beta 90.00
_cell_angle_gamma 90.00
loop_
_atom_site_label
_atom_site_type_symbol
_atom_site_fract_x
_atom_site_fract_y
_atom_site_fract_z
Li1 Li 0.000 0.000 0.500
In1 In 0.500 0.500 0.500
Pt1 Pt 0.000 0.000 0.000
```